The following is a GGA-PBE calculation of a relaxed BaZr2F crystal, from Alexandria.

Properties
Raw total energy, eV per atom: -5.614
Distance to the lowest polymorph of the same formula, meV/atom: 0
ΔE_f (raw), meV/atom: -391

abc: 6.941 6.941 9.896
angles: 90.00 90.00 90.00
Positions (direct):
Ba (0.000, 0.000, 0.000)
Ba (0.000, 0.500, 0.250)
Ba (0.500, 0.000, 0.750)
Ba (0.500, 0.500, 0.500)
Zr (0.040, 0.250, 0.625)
Zr (0.250, 0.540, 0.875)
Zr (0.250, 0.960, 0.375)
Zr (0.460, 0.250, 0.125)
Zr (0.540, 0.750, 0.125)
Zr (0.750, 0.040, 0.375)
Zr (0.750, 0.460, 0.875)
Zr (0.960, 0.750, 0.625)
F (0.000, 0.000, 0.500)
F (0.000, 0.500, 0.750)
F (0.500, 0.000, 0.250)
F (0.500, 0.500, 0.000)


The following is a GGA-PBE calculation of a relaxed CeNd4S6 crystal, from Alexandria.

Properties
Raw total energy, eV per atom: -6.546
ΔE_f (raw), meV/atom: -2021

abc: 6.995 6.995 20.360
angles: 90.00 90.00 146.79
Positions (direct):
Ce (0.155, 0.845, 0.750)
Ce (0.845, 0.155, 0.250)
Nd (0.091, 0.909, 0.129)
Nd (0.091, 0.909, 0.371)
Nd (0.360, 0.640, 0.041)
Nd (0.360, 0.640, 0.459)
Nd (0.640, 0.360, 0.541)
Nd (0.640, 0.360, 0.959)
Nd (0.909, 0.091, 0.629)
Nd (0.909, 0.091, 0.871)
S (0.000, 0.000, 0.000)
S (0.000, 0.000, 0.500)
S (0.195, 0.805, 0.250)
S (0.270, 0.730, 0.591)
S (0.270, 0.730, 0.909)
S (0.450, 0.550, 0.169)
S (0.450, 0.550, 0.331)
S (0.550, 0.450, 0.669)
S (0.550, 0.450, 0.831)
S (0.730, 0.270, 0.091)
S (0.730, 0.270, 0.409)
S (0.805, 0.195, 0.750)


The following is a GGA-PBE calculation of a relaxed ScNb3Pb crystal, from Alexandria.

Properties
Raw total energy, eV per atom: -6.357
Distance to the lowest polymorph of the same formula, meV/atom: 286
DFT formation energy, eV/atom: 1.693

abc: 5.152 5.152 5.152
angles: 90.00 90.00 90.00
Positions (direct):
Sc (0.000, 0.000, 0.000)
Nb (0.000, 0.500, 0.500)
Nb (0.500, 0.000, 0.500)
Nb (0.500, 0.500, 0.000)
Pb (0.500, 0.500, 0.500)


The following is a GGA-PBE calculation of a relaxed ReHg2Te crystal, from Alexandria.

Properties
Raw total energy, eV per atom: -3.330
Distance to the lowest polymorph of the same formula, meV/atom: 313
ΔE_f (raw), meV/atom: 718

abc: 14.409 3.106 4.426
angles: 90.00 107.59 90.00
Positions (direct):
Re (0.000, 0.000, 0.000)
Re (0.500, 0.500, 0.000)
Hg (0.189, 0.500, 0.189)
Hg (0.311, 0.000, 0.811)
Hg (0.689, 0.000, 0.189)
Hg (0.811, 0.500, 0.811)
Te (0.000, 0.500, 0.500)
Te (0.500, 0.000, 0.500)


The following is a GGA-PBE calculation of a relaxed BiP3O crystal, from Alexandria.

Properties
Raw total energy, eV per atom: -4.515
Distance to the lowest polymorph of the same formula, meV/atom: 0
ΔE_f (raw), meV/atom: 498

abc: 4.375 4.375 4.375
angles: 90.00 90.00 90.00
Positions (direct):
Bi (0.000, 0.000, 0.000)
P (0.000, 0.500, 0.500)
P (0.500, 0.000, 0.500)
P (0.500, 0.500, 0.000)
O (0.500, 0.500, 0.500)


The following is a GGA-PBE calculation of a relaxed CrCu3Hg crystal, from Alexandria.

Properties
Raw total energy, eV per atom: -3.305
Distance to the lowest polymorph of the same formula, meV/atom: 12
DFT formation energy, eV/atom: 1.138

abc: 4.808 4.808 4.808
angles: 90.00 90.00 90.00
Positions (direct):
Cr (0.000, 0.000, 0.000)
Cu (0.000, 0.500, 0.500)
Cu (0.500, 0.000, 0.500)
Cu (0.500, 0.500, 0.000)
Hg (0.500, 0.500, 0.500)